(1)
Entry from Alexandria: a crystal of KAg2H2 relaxed with PBEsol (meta-GGA SCAN).

E_tot: -15.36 eV per atom

Cell: 3.8783 3.8783 11.7320 Å, 90.00 90.00 90.00°
Closest atoms and distances in Å follow each position.
Positions (direct):
K 0.0000 0.0000 0.0000  2 Ag 3.28, 8 H 3.52
K 0.5000 0.5000 0.5000  2 Ag 3.28, 8 H 3.52
Ag 0.0000 0.0000 0.2795  4 H 1.97
Ag 0.0000 0.0000 0.7205  4 H 1.97
Ag 0.5000 0.5000 0.2205  4 H 1.97
Ag 0.5000 0.5000 0.7795  4 H 1.97
H 0.0000 0.5000 0.2500  4 Ag 1.97
H 0.0000 0.5000 0.7500  4 Ag 1.97
H 0.5000 0.0000 0.2500  4 Ag 1.97
H 0.5000 0.0000 0.7500  4 Ag 1.97

=====

(2)
Entry from Alexandria: a crystal of TeAuCl7 relaxed with PBEsol (meta-GGA SCAN).

formation energy from raw total energies: -0.536 eV/atom

Cell: 7.5244 8.1530 8.9041 Å, 78.87 85.06 85.81°
Closest atoms and distances in Å follow each position.
Positions (direct):
Te 0.2034 0.2704 0.2691  3 Cl 2.34-2.35
Te 0.7966 0.7296 0.7309  3 Cl 2.34-2.35
Au 0.4126 0.6943 0.0653  4 Cl 2.28-2.29
Au 0.5874 0.3057 0.9347  4 Cl 2.28-2.29
Cl 0.0749 0.6409 0.6257  1 Te 2.34
Cl 0.1094 0.0058 0.2560  1 Te 2.35
Cl 0.1225 0.6375 0.0514  1 Au 2.28
Cl 0.2957 0.2563 0.9184  1 Au 2.28
Cl 0.3098 0.1744 0.5118  1 Te 2.34
Cl 0.3935 0.5556 0.3143  1 Au 2.28
Cl 0.4321 0.8311 0.8155  1 Au 2.29
Cl 0.5679 0.1689 0.1845  1 Au 2.29
Cl 0.6065 0.4444 0.6857  1 Au 2.28
Cl 0.6902 0.8256 0.4882  1 Te 2.34
Cl 0.7043 0.7437 0.0816  1 Au 2.28
Cl 0.8775 0.3625 0.9486  1 Au 2.28
Cl 0.8906 0.9942 0.7440  1 Te 2.35
Cl 0.9251 0.3591 0.3743  1 Te 2.34

=====

(3)
Entry from Alexandria: a crystal of LiFe2Te relaxed with PBEsol (meta-GGA SCAN).

formation energy from raw total energies: 0.007 eV/atom

Cell: 3.7304 3.7304 4.0384 Å, 90.00 90.00 90.00°
Closest atoms and distances in Å follow each position.
Positions (direct):
Li 0.0000 0.0000 0.0000  4 Te 2.64, 8 Fe 2.75
Fe 0.0000 0.5000 0.5000  4 Fe 2.64, 4 Li 2.75, 4 Te 2.75
Fe 0.5000 0.0000 0.5000  4 Fe 2.64, 4 Li 2.75, 4 Te 2.75
Te 0.5000 0.5000 0.0000  4 Li 2.64, 8 Fe 2.75

=====

(4)
Entry from Alexandria: a crystal of Ho3Al5O12 relaxed with PBEsol (meta-GGA SCAN).

formation energy from raw total energies: -3.644 eV/atom

Cell: 10.3510 10.3510 10.3510 Å, 109.47 109.47 109.47°
Closest atoms and distances in Å follow each position.
Positions (direct):
Ho 0.1250 0.2500 0.3750  8 O 2.30-2.41
Ho 0.1250 0.3750 0.7500  8 O 2.30-2.41
Ho 0.2500 0.3750 0.1250  8 O 2.30-2.41
Ho 0.2500 0.8750 0.6250  8 O 2.30-2.41
Ho 0.3750 0.1250 0.2500  8 O 2.30-2.41
Ho 0.3750 0.7500 0.1250  8 O 2.30-2.41
Ho 0.6250 0.2500 0.8750  8 O 2.30-2.41
Ho 0.6250 0.8750 0.7500  8 O 2.30-2.41
Ho 0.7500 0.1250 0.3750  8 O 2.30-2.41
Ho 0.7500 0.6250 0.8750  8 O 2.30-2.41
Ho 0.8750 0.6250 0.2500  8 O 2.30-2.41
Ho 0.8750 0.7500 0.6250  8 O 2.30-2.41
Al 0.0000 0.0000 0.0000  6 O 1.92
Al 0.0000 0.0000 0.5000  6 O 1.92
Al 0.0000 0.5000 0.0000  6 O 1.92
Al 0.0000 0.5000 0.5000  6 O 1.92
Al 0.1250 0.7500 0.8750  4 O 1.77
Al 0.1250 0.8750 0.2500  4 O 1.77
Al 0.2500 0.1250 0.8750  4 O 1.77
Al 0.2500 0.6250 0.3750  4 O 1.77
Al 0.3750 0.2500 0.6250  4 O 1.77
Al 0.3750 0.6250 0.7500  4 O 1.77
Al 0.5000 0.0000 0.0000  6 O 1.92
Al 0.5000 0.0000 0.5000  6 O 1.92
Al 0.5000 0.5000 0.0000  6 O 1.92
Al 0.5000 0.5000 0.5000  6 O 1.92
Al 0.6250 0.3750 0.2500  4 O 1.77
Al 0.6250 0.7500 0.3750  4 O 1.77
Al 0.7500 0.3750 0.6250  4 O 1.77
Al 0.7500 0.8750 0.1250  4 O 1.77
Al 0.8750 0.1250 0.7500  4 O 1.77
Al 0.8750 0.2500 0.1250  4 O 1.77
O 0.0223 0.2013 0.1192  2 Al 1.77-1.92
O 0.0223 0.3210 0.9031  2 Al 1.77-1.92
O 0.0821 0.7013 0.6790  2 Al 1.77-1.92
O 0.0821 0.8808 0.4031  2 Al 1.77-1.92
O 0.0969 0.6192 0.4179  2 Al 1.77-1.92
O 0.0969 0.9777 0.6790  2 Al 1.77-1.92
O 0.1192 0.0223 0.2013  2 Al 1.77-1.92
O 0.1192 0.5969 0.9179  2 Al 1.77-1.92
O 0.1790 0.2013 0.5821  2 Al 1.77-1.92
O 0.1790 0.4777 0.5969  2 Al 1.77-1.92
O 0.2013 0.1192 0.0223  2 Al 1.77-1.92
O 0.2013 0.5821 0.1790  2 Al 1.77-1.92
O 0.2987 0.3210 0.9179  2 Al 1.77-1.92
O 0.2987 0.4777 0.3808  2 Al 1.77-1.92
O 0.3210 0.9031 0.0223  2 Al 1.77-1.92
O 0.3210 0.9179 0.2987  2 Al 1.77-1.92
O 0.3808 0.2987 0.4777  2 Al 1.77-1.92
O 0.3808 0.5821 0.9031  2 Al 1.77-1.92
O 0.4031 0.0821 0.8808  2 Al 1.77-1.92
O 0.4031 0.8210 0.5223  2 Al 1.77-1.92
O 0.4179 0.0969 0.6192  2 Al 1.77-1.92
O 0.4179 0.8210 0.7987  2 Al 1.77-1.92
O 0.4777 0.3808 0.2987  2 Al 1.77-1.92
O 0.4777 0.5969 0.1790  2 Al 1.77-1.92
O 0.5223 0.4031 0.8210  2 Al 1.77-1.92
O 0.5223 0.6192 0.7013  2 Al 1.77-1.92
O 0.5821 0.1790 0.2013  2 Al 1.77-1.92
O 0.5821 0.9031 0.3808  2 Al 1.77-1.92
O 0.5969 0.1790 0.4777  2 Al 1.77-1.92
O 0.5969 0.9179 0.1192  2 Al 1.77-1.92
O 0.6192 0.4179 0.0969  2 Al 1.77-1.92
O 0.6192 0.7013 0.5223  2 Al 1.77-1.92
O 0.6790 0.0821 0.7013  2 Al 1.77-1.92
O 0.6790 0.0969 0.9777  2 Al 1.77-1.92
O 0.7013 0.5223 0.6192  2 Al 1.77-1.92
O 0.7013 0.6790 0.0821  2 Al 1.77-1.92
O 0.7987 0.4179 0.8210  2 Al 1.77-1.92
O 0.7987 0.8808 0.9777  2 Al 1.77-1.92
O 0.8210 0.5223 0.4031  2 Al 1.77-1.92
O 0.8210 0.7987 0.4179  2 Al 1.77-1.92
O 0.8808 0.4031 0.0821  2 Al 1.77-1.92
O 0.8808 0.9777 0.7987  2 Al 1.77-1.92
O 0.9031 0.0223 0.3210  2 Al 1.77-1.92
O 0.9031 0.3808 0.5821  2 Al 1.77-1.92
O 0.9179 0.1192 0.5969  2 Al 1.77-1.92
O 0.9179 0.2987 0.3210  2 Al 1.77-1.92
O 0.9777 0.6790 0.0969  2 Al 1.77-1.92
O 0.9777 0.7987 0.8808  2 Al 1.77-1.92

=====

no.,ρ (g/cm³)
1,4.8
2,3.6
3,7.3
4,6.4